Below is KLiSn4 after structural relaxation, with properties calculated at the GGA-PBE level.

Output
The calculation puts the formation energy at -0.3 eV per formula unit. As for the excess energy over the best structure of this formula in the dataset: 98 meV per atom. As for the density of states at the Fermi level: 32.8 states/eV per cell. Its electronic total energy is -77.215 eV for the cell shown.

Cell and atoms, written as CIF:
```
data_KLiSn4
_space_group_name_H-M_alt 'F -4 3 m'
_space_group_IT_number 216
_space_group_name_Hall 'F -4 2 3'
_cell_length_a 9.014
_cell_length_b 9.014
_cell_length_c 9.014
_cell_angle_alpha 90.00
_cell_angle_beta 90.00
_cell_angle_gamma 90.00
loop_
_atom_site_label
_atom_site_type_symbol
_atom_site_fract_x
_atom_site_fract_y
_atom_site_fract_z
K1 K 0.000 0.000 0.000
Li1 Li 0.250 0.250 0.250
Sn1 Sn 0.124 0.124 0.624
```

***

Below is KLiSn2 after structural relaxation, with properties calculated at the GGA-PBE level.

Output
The calculation puts the formation energy at -0.1 eV per formula unit. As for the excess energy over the best structure of this formula in the dataset: 234 meV per atom. As for the density of states at the Fermi level: 8.1 states/eV per cell. Its electronic total energy is -44.518 eV for the cell shown.

Cell and atoms, written as CIF:
```
data_KLiSn2
_space_group_name_H-M_alt 'I -4 2 d'
_space_group_IT_number 122
_space_group_name_Hall 'I -4 2bw'
_cell_length_a 5.559
_cell_length_b 5.559
_cell_length_c 19.861
_cell_angle_alpha 90.00
_cell_angle_beta 90.00
_cell_angle_gamma 90.00
loop_
_atom_site_label
_atom_site_type_symbol
_atom_site_fract_x
_atom_site_fract_y
_atom_site_fract_z
K1 K 0.000 0.000 0.000
Li1 Li 0.000 0.000 0.500
Sn1 Sn 0.048 0.250 0.625
```

***

Below is KLi2Sn2 after structural relaxation, with properties calculated at the GGA-PBE level.

Output
The calculation puts the formation energy at -1.0 eV per formula unit. As for the excess energy over the best structure of this formula in the dataset: 45 meV per atom. As for the density of states at the Fermi level: 4.3 states/eV per cell. Its electronic total energy is -27.927 eV for the cell shown.

Cell and atoms, written as CIF:
```
data_KLi2Sn2
_space_group_name_H-M_alt 'I 4/m m m'
_space_group_IT_number 139
_space_group_name_Hall '-I 4 2'
_cell_length_a 5.239
_cell_length_b 5.239
_cell_length_c 10.253
_cell_angle_alpha 90.00
_cell_angle_beta 90.00
_cell_angle_gamma 90.00
loop_
_atom_site_label
_atom_site_type_symbol
_atom_site_fract_x
_atom_site_fract_y
_atom_site_fract_z
K1 K 0.000 0.000 0.000
Li1 Li 0.000 0.500 0.250
Sn1 Sn 0.000 0.000 0.365
```

***

Below is KLiSn4 after structural relaxation, with properties calculated at the GGA-PBE level.

Output
The calculation puts the formation energy at -0.9 eV per formula unit. As for the excess energy over the best structure of this formula in the dataset: 0 meV per atom. As for the density of states at the Fermi level: 3.9 states/eV per cell. Its electronic total energy is -39.780 eV for the cell shown.

Cell and atoms, written as CIF:
```
data_KLiSn4
_space_group_name_H-M_alt 'P -1'
_space_group_IT_number 2
_cell_length_a 5.555
_cell_length_b 7.775
_cell_length_c 9.398
_cell_angle_alpha 70.61
_cell_angle_beta 72.93
_cell_angle_gamma 89.77
loop_
_space_group_symop_operation_xyz
'x,y,z'
'-x,-y,-z'
loop_
_atom_site_label
_atom_site_type_symbol
_atom_site_fract_x
_atom_site_fract_y
_atom_site_fract_z
K1 K 0.228 0.254 0.039
Li1 Li 0.256 0.498 0.503
Sn1 Sn 0.021 0.202 0.454
Sn2 Sn 0.138 0.749 0.231
Sn3 Sn 0.406 0.694 0.694
Sn4 Sn 0.408 0.104 0.681
```

***

Below is K2LiSn after structural relaxation, with properties calculated at the GGA-PBE level.

Output
The calculation puts the formation energy at 1.1 eV per formula unit. As for the density of states at the Fermi level: 7.4 states/eV per cell. Its electronic total energy is -21.130 eV for the cell shown.

Cell and atoms, written as CIF:
```
data_K2LiSn
_space_group_name_H-M_alt 'R -3 m'
_space_group_IT_number 166
_space_group_name_Hall '-R 3 2"'
_cell_length_a 3.7331
_cell_length_b 3.7331
_cell_length_c 39.5302
_cell_angle_alpha 90.00
_cell_angle_beta 90.00
_cell_angle_gamma 120.00
loop_
_atom_site_label
_atom_site_type_symbol
_atom_site_fract_x
_atom_site_fract_y
_atom_site_fract_z
K1 K 0.0000 0.0000 0.0873
Li1 Li 0.0000 0.0000 0.5000
Sn1 Sn 0.0000 0.0000 0.0000
```

***

Below is KLiSn3 after structural relaxation, with properties calculated at the GGA-PBE level.

Output
The calculation puts the formation energy at 4.6 eV per formula unit. As for the excess energy over the best structure of this formula in the dataset: 1115 meV per atom. As for the density of states at the Fermi level: 3.3 states/eV per cell. Its electronic total energy is -10.372 eV for the cell shown.

Cell and atoms, written as CIF:
```
data_KLiSn3
_space_group_name_H-M_alt 'P m -3 m'
_space_group_IT_number 221
_space_group_name_Hall '-P 4 2 3'
_cell_length_a 5.932
_cell_length_b 5.932
_cell_length_c 5.932
_cell_angle_alpha 90.00
_cell_angle_beta 90.00
_cell_angle_gamma 90.00
loop_
_atom_site_label
_atom_site_type_symbol
_atom_site_fract_x
_atom_site_fract_y
_atom_site_fract_z
K1 K 0.000 0.000 0.000
Li1 Li 0.500 0.500 0.500
Sn1 Sn 0.000 0.000 0.500
```

***

Below is KLiSn2 after structural relaxation, with properties calculated at the GGA-PBE level.

Output
The calculation puts the formation energy at -1.0 eV per formula unit. As for the excess energy over the best structure of this formula in the dataset: 1 meV per atom. As for the density of states at the Fermi level: 1.7 states/eV per cell. Its electronic total energy is -24.122 eV for the cell shown.

Cell and atoms, written as CIF:
```
data_KLiSn2
_space_group_name_H-M_alt 'P 1 21/m 1'
_space_group_IT_number 11
_cell_length_a 6.205
_cell_length_b 4.818
_cell_length_c 8.460
_cell_angle_alpha 90.00
_cell_angle_beta 109.58
_cell_angle_gamma 90.00
loop_
_space_group_symop_operation_xyz
'x,y,z'
'-x,-y,-z'
'-x,y+1/2,-z'
'x,-y+1/2,z'
loop_
_atom_site_label
_atom_site_type_symbol
_atom_site_fract_x
_atom_site_fract_y
_atom_site_fract_z
K1 K 0.217 0.250 0.427
Li1 Li 0.189 0.250 0.912
Sn1 Sn 0.298 0.750 0.123
Sn2 Sn 0.380 0.750 0.784
```

***

Below is KLiSn after structural relaxation, with properties calculated at the GGA-PBE level.

Output
The calculation puts the formation energy at -0.3 eV per formula unit. As for the excess energy over the best structure of this formula in the dataset: 201 meV per atom. As for the density of states at the Fermi level: 2.3 states/eV per cell. Its electronic total energy is -7.275 eV for the cell shown.

Cell and atoms, written as CIF:
```
data_KLiSn
_space_group_name_H-M_alt 'P 3 m 1'
_space_group_IT_number 156
_cell_length_a 5.4630
_cell_length_b 5.4630
_cell_length_c 3.4458
_cell_angle_alpha 90.00
_cell_angle_beta 90.00
_cell_angle_gamma 120.00
loop_
_space_group_symop_operation_xyz
'x,y,z'
'-y,x-y,z'
'-x+y,-x,z'
'-y,-x,z'
'-x+y,y,z'
'x,x-y,z'
loop_
_atom_site_label
_atom_site_type_symbol
_atom_site_fract_x
_atom_site_fract_y
_atom_site_fract_z
K1 K 0.0000 0.0000 0.0000
Li1 Li 0.3333 0.6667 0.4905
Sn1 Sn 0.6667 0.3333 0.5038
```

***

Below is KLi2Sn after structural relaxation, with properties calculated at the GGA-PBE level.

Output
The calculation puts the formation energy at -0.5 eV per formula unit. As for the density of states at the Fermi level: 1.6 states/eV per cell. Its electronic total energy is -9.379 eV for the cell shown.

Cell and atoms, written as CIF:
```
data_KLi2Sn
_space_group_name_H-M_alt 'P 4/m m m'
_space_group_IT_number 123
_space_group_name_Hall '-P 4 2'
_cell_length_a 3.774
_cell_length_b 3.774
_cell_length_c 8.125
_cell_angle_alpha 90.00
_cell_angle_beta 90.00
_cell_angle_gamma 90.00
loop_
_atom_site_label
_atom_site_type_symbol
_atom_site_fract_x
_atom_site_fract_y
_atom_site_fract_z
K1 K 0.000 0.000 0.000
Li1 Li 0.500 0.500 0.333
Sn1 Sn 0.000 0.000 0.500
```

***

Below is KLiSn3 after structural relaxation, with properties calculated at the GGA-PBE level.

Output
The calculation puts the formation energy at -0.8 eV per formula unit. As for the excess energy over the best structure of this formula in the dataset: 32 meV per atom. As for the density of states at the Fermi level: 10.9 states/eV per cell. Its electronic total energy is -63.159 eV for the cell shown.

Cell and atoms, written as CIF:
```
data_KLiSn3
_space_group_name_H-M_alt 'P n n a'
_space_group_IT_number 52
_cell_length_a 12.861
_cell_length_b 6.945
_cell_length_c 6.945
_cell_angle_alpha 90.00
_cell_angle_beta 90.00
_cell_angle_gamma 90.00
loop_
_space_group_symop_operation_xyz
'x,y,z'
'-x,-y,-z'
'-x+1/2,-y,z'
'x+1/2,y,-z'
'x,-y+1/2,-z+1/2'
'-x,y+1/2,z+1/2'
'-x+1/2,y+1/2,-z+1/2'
'x+1/2,-y+1/2,z+1/2'
loop_
_atom_site_label
_atom_site_type_symbol
_atom_site_fract_x
_atom_site_fract_y
_atom_site_fract_z
K1 K 0.250 0.000 0.001
Li1 Li 0.000 0.250 0.250
Sn1 Sn 0.000 0.250 0.750
Sn2 Sn 0.136 0.000 0.501
```

***

Below is K2LiSn2 after structural relaxation, with properties calculated at the GGA-PBE level.

Output
The calculation puts the formation energy at -0.4 eV per formula unit. As for the density of states at the Fermi level: 8.5 states/eV per cell. Its electronic total energy is -25.092 eV for the cell shown.

Cell and atoms, written as CIF:
```
data_K2LiSn2
_space_group_name_H-M_alt 'P 4/m b m'
_space_group_IT_number 127
_space_group_name_Hall '-P 4 2ab'
_cell_length_a 7.760
_cell_length_b 7.760
_cell_length_c 5.803
_cell_angle_alpha 90.00
_cell_angle_beta 90.00
_cell_angle_gamma 90.00
loop_
_atom_site_label
_atom_site_type_symbol
_atom_site_fract_x
_atom_site_fract_y
_atom_site_fract_z
K1 K 0.175 0.325 0.000
Li1 Li 0.000 0.000 0.500
Sn1 Sn 0.132 0.632 0.500
```

***

Below is KLiSn3 after structural relaxation, with properties calculated at the GGA-PBE level.

Output
The calculation puts the formation energy at -0.9 eV per formula unit. As for the excess energy over the best structure of this formula in the dataset: 0 meV per atom. As for the density of states at the Fermi level: 3.5 states/eV per cell. Its electronic total energy is -63.793 eV for the cell shown.

Cell and atoms, written as CIF:
```
data_KLiSn3
_space_group_name_H-M_alt 'C m c m'
_space_group_IT_number 63
_space_group_name_Hall '-C 2c 2'
_cell_length_a 6.918
_cell_length_b 13.725
_cell_length_c 6.152
_cell_angle_alpha 90.00
_cell_angle_beta 90.00
_cell_angle_gamma 90.00
loop_
_atom_site_label
_atom_site_type_symbol
_atom_site_fract_x
_atom_site_fract_y
_atom_site_fract_z
K1 K 0.000 0.086 0.250
Li1 Li 0.000 0.500 0.000
Sn1 Sn 0.000 0.324 0.750
Sn2 Sn 0.211 0.336 0.250
```

***

> Which value of electronic total energy does entry 3 give?

-27.927 eV for the cell shown